Record 1
Sc2CoSi2 | Alexandria | meta-GGA SCAN | PBEsol geometry; calculated volume = 84.4 Å³/f.u.; space-group type = I4/mmm (139); E_form (uncorrected) = -0.167 eV/atom; total moment = 0.9 μB per formula unit
1.0
-1.0730 -2.3306 -2.1242
-1.4145 -1.6498 2.5245
-5.1886 5.9048 -1.2460
Si Co Sc
2 1 2
Cartesian
-3.9234 1.1324 0.7393
-3.7527 0.7920 -1.5850
0.0000 0.0000 0.0000
-5.1692 3.1459 -0.8405
-2.5069 -1.2215 -0.0052

***

Record 2
K2Na2Cd | Alexandria | meta-GGA SCAN | PBEsol geometry; calculated volume = 209.6 Å³/f.u.; formation enthalpy at 0 K = 0.02 eV/atom; space-group type = P4/mbm (127); total moment = 0.0 μB per formula unit
1.0
-4.6792 -3.7020 -1.2470
1.9907 -4.7142 6.5254
-4.9276 4.6019 4.8279
K Cd Na
4 2 4
Cartesian
-2.2698 -4.2435 6.2172
-5.3462 0.4292 3.8890
-2.6230 -2.4861 2.3254
-4.9930 -1.3282 7.7808
-1.4684 -0.0561 5.6766
0.0000 0.0000 0.0000
-1.4787 -1.0590 8.6926
-1.4581 0.9468 2.6607
0.5685 -2.3734 4.9130
-3.5053 2.2612 6.4402

***

Record 3
BaCa2Ag2 | Alexandria | meta-GGA SCAN | PBEsol geometry; calculated volume = 158.8 Å³/f.u.; E above lowest polymorph = 0.0 meV/atom; formation enthalpy at 0 K = -0.22 eV/atom; space-group type = I4/mmm (139); total moment = 0.0 μB per formula unit
1.0
4.8778 0.0000 0.0000
0.0000 4.8778 0.0000
-2.4389 -2.4389 6.6733
Ag Ba Ca
2 1 2
Cartesian
0.0000 0.0000 5.2841
2.4389 2.4389 1.3892
0.0000 0.0000 0.0000
0.0000 2.4389 3.3366
2.4389 0.0000 3.3366